# K12Na3Tl GGA-PBE optimized geometry
data_K12Na3Tl
_chemical_formula_sum 'K12 Na3 Tl1'
_symmetry_space_group_name_H-M 'P 1'
_symmetry_Int_Tables_number 1
_cell_length_a 6.215
_cell_length_b 6.215
_cell_length_c 24.509
_cell_angle_alpha 90.00
_cell_angle_beta 90.00
_cell_angle_gamma 90.00
loop_
_symmetry_equiv_pos_as_xyz
'x,y,z'
loop_
_atom_site_label
_atom_site_fract_x
_atom_site_fract_y
_atom_site_fract_z
K1 0.500 0.000 0.630
K2 0.000 0.500 0.630
K3 0.000 0.500 0.370
K4 0.000 0.500 0.891
K5 0.500 0.500 0.240
K6 0.500 0.000 0.370
K7 0.500 0.500 0.000
K8 0.500 0.000 0.891
K9 0.000 0.500 0.109
K10 0.500 0.500 0.500
K11 0.500 0.000 0.109
K12 0.500 0.500 0.760
Tl1 0.000 0.000 0.000
Na1 0.000 0.000 0.241
Na2 0.000 0.000 0.500
Na3 0.000 0.000 0.759
# DOS at the Fermi energy (states/eV per cell): 12.76
# Total magnetization (μB per formula unit): 0.00
# Total energy (eV per atom): -1.20
# Symmetry: P4/mmm (123)